! PBE LiCaCd2F8, optimized geometry; values from VASP
&SYSTEM
  ibrav = 0, nat = 12, ntyp = 4
/
ATOMIC_SPECIES
Li 6.94 Li.upf
F 19.00 F.upf
Cd 112.41 Cd.upf
Ca 40.08 Ca.upf
CELL_PARAMETERS angstrom
-1.2028 -3.4761 -1.1501
0.1526 -1.7258 5.0755
-7.2677 2.1930 0.9724
ATOMIC_POSITIONS angstrom
Li 0.0000 0.0000 0.0000
F -2.9494 -3.3657 0.3601
F -7.7527 -0.8649 4.2543
F -1.6684 -0.7623 4.0505
F -0.5652 -2.1439 0.6435
F -4.1200 -1.9327 3.7045
F -6.6496 -2.2466 0.8474
F -5.3686 0.3568 4.5377
F -4.1980 -1.0762 1.1934
Cd -6.0413 -0.9357 2.6985
Cd -2.2767 -2.0732 2.1994
Ca -3.6339 1.0965 0.4862
! Uncorrected formation energy in eV/atom: -2.513
! Total magnetic moment in μB per formula unit: 1.101
! D(E_F) in states/eV/atom: 0.95
! Total energy in eV/atom: -4.240
! Space group: P-1